Entry from the Alexandria database: a relaxed structure of MnBeCr2 (PBEsol).

The energy of formation from the pure elements is 0.8 kJ/mol of atoms. For the mass density, the calculation gives 6.838 g/cm3. The calculation puts the total magnetization at 1.923 Bohr magnetons per cell. The calculation puts the density of states at the Fermi level at 5.74 states/eV per cell.

It has space group Immm (No. 71), with a = 2.775 Å, b = 3.775 Å, c = 7.785 Å, α = 90.00°, β = 90.00° and γ = 90.00°. The distinct sites, in fractional coordinates, are Mn at (0.000, 0.000, 0.000), Be at (0.000, 0.000, 0.500) and Cr at (0.000, 0.500, 0.258).